A relaxed SmFeO3 crystal. Source: the Alexandria database, functional GGA+U.

The structure in extended XYZ format:
```
10
Lattice="3.816 0.000 0.000 0.000 5.444 0.000 0.000 -2.722 5.853" Properties=species:S:1:pos:R:3 pbc="T T T"
Sm 0.000 2.722 1.808
Sm 0.000 0.000 4.045
Fe 1.908 0.000 1.369
Fe 1.908 2.722 4.484
O 1.908 1.461 0.000
O 0.000 2.722 4.116
O 1.908 3.983 0.000
O 1.908 1.361 2.926
O 0.000 0.000 1.737
O 1.908 -1.361 2.926
```

Calculated values
* ρ: 6.9 g/cm3
* energy: -7.295 eV/atom